No. 1
DFT (PBE-GGA) results for an optimized crystal structure of YTa2In.

It has space group Pmmm (No. 47), with a = 3.012 Å, b = 4.820 Å, c = 6.006 Å, α = 90.00°, β = 90.00° and γ = 90.00°. The inequivalent atoms are Y at (0.000, 0.000, 0.000), Ta at (0.500, 0.500, 0.245) and In at (0.000, 0.000, 0.500).

=====

No. 2
DFT (PBE-GGA) results for an optimized crystal structure of K4Rb5Hg4.

It has space group I4/m (No. 87), with a = 16.291 Å, b = 16.291 Å, c = 5.260 Å, α = 90.00°, β = 90.00° and γ = 90.00°. The inequivalent atoms are K at (0.095, 0.615, 0.000), Rb at (0.000, 0.000, 0.500), Rb at (0.130, 0.189, 0.000) and Hg at (0.046, 0.760, 0.500).

=====

Across the entries above, calculated total energy takes the values -7.82, -0.95 eV per atom, respectively.
Across the entries above, energy of formation from the pure elements takes the values 0.40, -0.15 eV per atom, respectively.